Entry 1:
This record from the Alexandria database describes a relaxed structure of CaPdW. The functional is PBE.

The structure in POSCAR format:
```
CaPdW
1.0
2.8975 0.0000 0.0000
0.8176 5.5736 0.0000
0.9455 2.2915 7.4581
Ca Pd W
2 2 2
direct
0.0000 0.0000 0.0000
0.0158 0.6140 0.7227
0.5487 0.1621 0.6424
0.7660 0.6534 0.3578
0.1725 0.0696 0.3745
0.4342 0.4235 0.1435
```

Values from the calculation:
- DFT total energy (eV per cell) = -39.1
- space group = P1 (1)

Entry 2:
This record from the Alexandria database describes a relaxed structure of RuRhPb2. The functional is PBE.

The structure in POSCAR format:
```
RuRhPb2
1.0
3.3774 0.0000 0.0000
0.0000 3.4154 0.0000
0.0000 0.0000 6.5805
Ru Rh Pb
1 1 2
direct
0.0000 0.0000 0.0000
0.0000 0.0000 0.5000
0.5000 0.5000 0.2502
0.5000 0.5000 0.7498
```

Values from the calculation:
- DFT total energy (eV per cell) = -22.9
- space group = Pmmm (47)

Computed energy relative to the lowest polymorph listed for this composition (meV/atom) in order:
219 20